Entry 1:
This record from Alexandria via LeMat-Bulk describes a geometry-optimized TbPmPr2Sm6 structure. The functional is PBE.

It has space group C2/c (No. 15), with a = 9.164 Å, b = 15.312 Å, c = 9.959 Å, α = 90.00°, β = 99.40° and γ = 90.00°. The distinct sites, in fractional coordinates, are Tb at (0.000, 0.017, 0.250), Pm at (0.000, 0.406, 0.750), Pr at (0.240, 0.051, 0.541), Sm at (0.066, 0.189, 0.943), Sm at (0.103, 0.397, 0.121) and Sm at (0.199, 0.222, 0.312).

The crystal system is monoclinic. As for the raw total energy: -184.32 eV per cell. The calculation puts the formation energy at 1.2 eV per formula unit.

=====

Entry 2:
This record from Alexandria via LeMat-Bulk describes a geometry-optimized K2Ru structure. The functional is PBE.

It has space group P6_3/mmc (No. 194), with a = 5.8205 Å, b = 5.8205 Å, c = 7.3489 Å, α = 90.00°, β = 90.00° and γ = 120.00°. The distinct sites, in fractional coordinates, are K at (0.0000, 0.0000, 0.0000), K at (0.3333, 0.6667, 0.2500) and Ru at (0.3333, 0.6667, 0.7500).

The crystal system is hexagonal. As for the raw total energy: -14.74 eV per cell. The excess energy over the best structure of this formula in the dataset comes out at 755.1 meV per atom. The calculation puts the formation energy at 4.1 eV per formula unit.

=====

Entry 3:
This record from Alexandria via LeMat-Bulk describes a geometry-optimized PmPRu2N structure. The functional is PBE.

It has space group Cmcm (No. 63), with a = 3.721 Å, b = 11.347 Å, c = 7.088 Å, α = 90.00°, β = 90.00° and γ = 90.00°. The distinct sites, in fractional coordinates, are Pm at (0.000, 0.039, 0.250), P at (0.000, 0.232, 0.750), Ru at (0.000, 0.333, 0.052) and N at (0.000, 0.500, 0.000).

As for the uncorrected formation energy: -77 kJ/mol of atoms. The crystal system is orthorhombic. As for the raw total energy: -164.06 eV per cell.

=====

Entry 4:
This record from Alexandria via LeMat-Bulk describes a geometry-optimized CsFeTe3 structure. The functional is PBE.

It has space group Pm-3m (No. 221), with a = 6.329 Å, b = 6.329 Å, c = 6.329 Å, α = 90.00°, β = 90.00° and γ = 90.00°. The distinct sites, in fractional coordinates, are Cs at (0.000, 0.000, 0.000), Fe at (0.500, 0.500, 0.500) and Te at (0.000, 0.000, 0.500).

As for the uncorrected formation energy: 153 kJ/mol of atoms. The crystal system is cubic. As for the raw total energy: -10.80 eV per cell.

=====

Entry 5:
This record from Alexandria via LeMat-Bulk describes a geometry-optimized LiAgCl4 structure. The functional is PBE.

It has space group F-43m (No. 216), with a = 8.494 Å, b = 8.494 Å, c = 8.494 Å, α = 90.00°, β = 90.00° and γ = 90.00°. The distinct sites, in fractional coordinates, are Li at (0.000, 0.000, 0.000), Ag at (0.250, 0.250, 0.750) and Cl at (0.125, 0.125, 0.375).

As for the uncorrected formation energy: 9 kJ/mol of atoms. The crystal system is cubic. As for the raw total energy: -46.42 eV per cell.

=====

Entry 6:
This record from Alexandria via LeMat-Bulk describes a geometry-optimized TaBe2Tc structure. The functional is PBE.

It has space group P4/mmm (No. 123), with a = 3.855 Å, b = 3.855 Å, c = 3.341 Å, α = 90.00°, β = 90.00° and γ = 90.00°. The distinct sites, in fractional coordinates, are Ta at (0.000, 0.000, 0.000), Be at (0.000, 0.500, 0.500) and Tc at (0.500, 0.500, 0.000).

The crystal system is tetragonal. As for the raw total energy: -29.80 eV per cell. The excess energy over the best structure of this formula in the dataset comes out at 351.8 meV per atom. The calculation puts the formation energy at -0.1 eV per formula unit.

=====

Entry 7:
This record from Alexandria via LeMat-Bulk describes a geometry-optimized Pr2ScBr structure. The functional is PBE.

It has space group P4/mmm (No. 123), with a = 3.569 Å, b = 3.569 Å, c = 9.423 Å, α = 90.00°, β = 90.00° and γ = 90.00°. The distinct sites, in fractional coordinates, are Pr at (0.000, 0.000, 0.242), Sc at (0.500, 0.500, 0.500) and Br at (0.500, 0.500, 0.000).

As for the uncorrected formation energy: -44 kJ/mol of atoms. The crystal system is tetragonal. As for the raw total energy: -19.37 eV per cell. The excess energy over the best structure of this formula in the dataset comes out at 0.0 meV per atom.

=====

Entry 8:
This record from Alexandria via LeMat-Bulk describes a geometry-optimized HoInAg2I6 structure. The functional is PBE.

It has space group R-3 (No. 148, hexagonal axes), with a = 8.0078 Å, b = 8.0078 Å, c = 23.2891 Å, α = 90.00°, β = 90.00° and γ = 120.00°. The distinct sites, in fractional coordinates, are Ho at (0.0000, 0.0000, 0.0000), In at (0.0000, 0.0000, 0.5000), Ag at (0.0000, 0.0000, 0.2680) and I at (0.0014, 0.6936, 0.9235).

As for the uncorrected formation energy: -68 kJ/mol of atoms. The crystal system is trigonal. As for the raw total energy: -88.17 eV per cell.

=====

Entry 9:
This record from Alexandria via LeMat-Bulk describes a geometry-optimized Ho3AlRu3 structure. The functional is PBE.

It has space group Cmcm (No. 63), with a = 4.117 Å, b = 10.392 Å, c = 13.404 Å, α = 90.00°, β = 90.00° and γ = 90.00°. The distinct sites, in fractional coordinates, are Ho at (0.000, 0.013, 0.250), Ho at (0.000, 0.299, 0.106), Al at (0.000, 0.000, 0.000), Ru at (0.000, 0.277, 0.750) and Ru at (0.000, 0.413, 0.593).

The crystal system is orthorhombic. As for the raw total energy: -194.56 eV per cell. The calculation puts the formation energy at -3.3 eV per formula unit.

=====

Entry 10:
This record from Alexandria via LeMat-Bulk describes a geometry-optimized CaLaAu3 structure. The functional is PBE.

It has space group Cmcm (No. 63), with a = 3.782 Å, b = 28.475 Å, c = 4.660 Å, α = 90.00°, β = 90.00° and γ = 90.00°. The distinct sites, in fractional coordinates, are Ca at (0.000, 0.208, 0.250), La at (0.000, 0.073, 0.750), Au at (0.000, 0.318, 0.250), Au at (0.000, 0.377, 0.750) and Au at (0.000, 0.474, 0.750).

The crystal system is orthorhombic. As for the raw total energy: -82.89 eV per cell. The excess energy over the best structure of this formula in the dataset comes out at 0.0 meV per atom. The calculation puts the formation energy at -4.0 eV per formula unit.

=====

Entry 11:
This record from Alexandria via LeMat-Bulk describes a geometry-optimized V2HIr2 structure. The functional is PBE.

It has space group P4/mmm (No. 123), with a = 3.899 Å, b = 3.899 Å, c = 3.786 Å, α = 90.00°, β = 90.00° and γ = 90.00°. The distinct sites, in fractional coordinates, are V at (0.000, 0.500, 0.000), H at (0.000, 0.000, 0.000), Ir at (0.000, 0.000, 0.500) and Ir at (0.500, 0.500, 0.500).

The crystal system is tetragonal. As for the raw total energy: -41.26 eV per cell.

=====

Entry 12:
This record from Alexandria via LeMat-Bulk describes a geometry-optimized AlTl2Pd2 structure. The functional is PBE.

It has space group P4/mbm (No. 127), with a = 6.693 Å, b = 6.693 Å, c = 4.542 Å, α = 90.00°, β = 90.00° and γ = 90.00°. The distinct sites, in fractional coordinates, are Al at (0.000, 0.000, 0.000), Tl at (0.165, 0.335, 0.500) and Pd at (0.153, 0.653, 0.000).

The crystal system is tetragonal. As for the raw total energy: -39.39 eV per cell. The calculation puts the formation energy at -0.8 eV per formula unit.

=====

Entry 13:
This record from Alexandria via LeMat-Bulk describes a geometry-optimized BeTeF3 structure. The functional is PBE.

It has space group Pm-3m (No. 221), with a = 4.551 Å, b = 4.551 Å, c = 4.551 Å, α = 90.00°, β = 90.00° and γ = 90.00°. The distinct sites, in fractional coordinates, are Be at (0.000, 0.000, 0.000), Te at (0.500, 0.500, 0.500) and F at (0.000, 0.500, 0.500).

As for the uncorrected formation energy: -55 kJ/mol of atoms. The crystal system is cubic. As for the raw total energy: -15.34 eV per cell. The excess energy over the best structure of this formula in the dataset comes out at 836.9 meV per atom.

=====

Entry 14:
This record from Alexandria via LeMat-Bulk describes a geometry-optimized ScIn4Mo structure. The functional is PBE.

It has space group F-43m (No. 216), with a = 8.044 Å, b = 8.044 Å, c = 8.044 Å, α = 90.00°, β = 90.00° and γ = 90.00°. The distinct sites, in fractional coordinates, are Sc at (0.000, 0.000, 0.000), In at (0.125, 0.125, 0.625) and Mo at (0.250, 0.250, 0.250).

The crystal system is cubic. As for the raw total energy: -103.55 eV per cell. The calculation puts the formation energy at 2.2 eV per formula unit.

=====

Entry 15:
This record from Alexandria via LeMat-Bulk describes a geometry-optimized Sr2AgPd5Pt2 structure. The functional is PBE.

It has space group P4/mbm (No. 127), with a = 9.924 Å, b = 9.924 Å, c = 4.016 Å, α = 90.00°, β = 90.00° and γ = 90.00°. The distinct sites, in fractional coordinates, are Sr at (0.174, 0.326, 0.000), Ag at (0.000, 0.000, 0.000), Pd at (0.000, 0.500, 0.500), Pd at (0.061, 0.800, 0.500) and Pt at (0.125, 0.625, 0.000).

The crystal system is tetragonal. As for the raw total energy: -95.63 eV per cell. The calculation puts the formation energy at -3.6 eV per formula unit.

=====

Entry 16:
This record from Alexandria via LeMat-Bulk describes a geometry-optimized Ba5Te structure. The functional is PBE.

It has space group P-62m (No. 189), with a = 7.4614 Å, b = 7.4614 Å, c = 6.3693 Å, α = 90.00°, β = 90.00° and γ = 120.00°. The distinct sites, in fractional coordinates, are Ba at (0.0000, 0.7074, 0.0000), Ba at (0.3333, 0.6667, 0.5000) and Te at (0.0000, 0.0000, 0.5000).

As for the uncorrected formation energy: -28 kJ/mol of atoms. The crystal system is hexagonal. As for the raw total energy: -14.47 eV per cell. The excess energy over the best structure of this formula in the dataset comes out at 172.2 meV per atom.

=====

Entry 17:
This record from Alexandria via LeMat-Bulk describes a geometry-optimized TbPuAg2Te4 structure. The functional is PBE.

It has space group I222 (No. 23), with a = 7.593 Å, b = 7.700 Å, c = 8.384 Å, α = 90.00°, β = 90.00° and γ = 90.00°. The distinct sites, in fractional coordinates, are Tb at (0.000, 0.000, 0.000), Pu at (0.000, 0.000, 0.500), Ag at (0.000, 0.500, 0.332) and Te at (0.233, 0.241, 0.809).

As for the uncorrected formation energy: -57 kJ/mol of atoms. The crystal system is orthorhombic. As for the raw total energy: -83.87 eV per cell.

=====

Entry 18:
This record from Alexandria via LeMat-Bulk describes a geometry-optimized GeBPS2 structure. The functional is PBE.

It has space group P4/mmm (No. 123), with a = 4.486 Å, b = 4.486 Å, c = 3.867 Å, α = 90.00°, β = 90.00° and γ = 90.00°. The distinct sites, in fractional coordinates, are Ge at (0.000, 0.000, 0.000), B at (0.500, 0.500, 0.500), P at (0.500, 0.500, 0.000) and S at (0.000, 0.500, 0.500).

As for the uncorrected formation energy: 65 kJ/mol of atoms. The crystal system is tetragonal. As for the raw total energy: -21.58 eV per cell. The excess energy over the best structure of this formula in the dataset comes out at 0.0 meV per atom.

=====

Entry 19:
This record from Alexandria via LeMat-Bulk describes a geometry-optimized Al3As structure. The functional is PBE.

It has space group Fm-3m (No. 225), with a = 6.566 Å, b = 6.566 Å, c = 6.566 Å, α = 90.00°, β = 90.00° and γ = 90.00°. The distinct sites, in fractional coordinates, are Al at (0.000, 0.000, 0.000), Al at (0.250, 0.250, 0.250) and As at (0.000, 0.000, 0.500).

The crystal system is cubic. As for the raw total energy: -60.92 eV per cell. The excess energy over the best structure of this formula in the dataset comes out at 166.5 meV per atom. The calculation puts the formation energy at 0.6 eV per formula unit.

=====

Entry 20:
This record from Alexandria via LeMat-Bulk describes a geometry-optimized Ba2TmGe3Pd4 structure. The functional is PBE.

It has space group P-4m2 (No. 115), with a = 4.499 Å, b = 4.499 Å, c = 11.157 Å, α = 90.00°, β = 90.00° and γ = 90.00°. The distinct sites, in fractional coordinates, are Ba at (0.000, 0.500, 0.234), Tm at (0.000, 0.000, 0.500), Ge at (0.000, 0.500, 0.887), Ge at (0.500, 0.500, 0.500), Pd at (0.000, 0.000, 0.000), Pd at (0.000, 0.500, 0.648) and Pd at (0.500, 0.500, 0.000).

The crystal system is tetragonal. As for the raw total energy: -50.06 eV per cell. The calculation puts the formation energy at -7.1 eV per formula unit.

=====

Entry 21:
This record from Alexandria via LeMat-Bulk describes a geometry-optimized RbZnNi2Ru structure. The functional is PBE.

It has space group P4/mmm (No. 123), with a = 4.530 Å, b = 4.530 Å, c = 5.399 Å, α = 90.00°, β = 90.00° and γ = 90.00°. The distinct sites, in fractional coordinates, are Rb at (0.000, 0.000, 0.000), Zn at (0.000, 0.000, 0.500), Ni at (0.000, 0.500, 0.500) and Ru at (0.500, 0.500, 0.000).

The crystal system is tetragonal. As for the raw total energy: -14.96 eV per cell. The calculation puts the formation energy at 8.1 eV per formula unit.

=====

Entry 22:
This record from Alexandria via LeMat-Bulk describes a geometry-optimized RbTiRh2 structure. The functional is PBE.

It has space group I-42d (No. 122), with a = 5.506 Å, b = 5.506 Å, c = 14.984 Å, α = 90.00°, β = 90.00° and γ = 90.00°. The distinct sites, in fractional coordinates, are Rb at (0.000, 0.000, 0.000), Ti at (0.000, 0.000, 0.500) and Rh at (0.045, 0.250, 0.625).

The crystal system is tetragonal. As for the raw total energy: -85.94 eV per cell. The excess energy over the best structure of this formula in the dataset comes out at 0.0 meV per atom. The calculation puts the formation energy at 2.1 eV per formula unit.

=====

Entry 23:
This record from Alexandria via LeMat-Bulk describes a geometry-optimized ErCd3Pd2 structure. The functional is PBE.

It has space group Pmc2_1 (No. 26), with a = 3.894 Å, b = 8.885 Å, c = 7.198 Å, α = 90.00°, β = 90.00° and γ = 90.00°. The distinct sites, in fractional coordinates, are Er at (0.000, 0.093, 0.000), Cd at (0.000, 0.318, 0.598), Cd at (0.500, 0.189, 0.329), Cd at (0.500, 0.418, 0.914), Pd at (0.000, 0.387, 0.206) and Pd at (0.500, 0.105, 0.710).

The crystal system is orthorhombic. As for the raw total energy: -41.26 eV per cell. The calculation puts the formation energy at -2.9 eV per formula unit.

=====

Entry 24:
This record from Alexandria via LeMat-Bulk describes a geometry-optimized Ho3Si4Tc4 structure. The functional is PBE.

It has space group Immm (No. 71), with a = 3.630 Å, b = 7.662 Å, c = 13.810 Å, α = 90.00°, β = 90.00° and γ = 90.00°. The distinct sites, in fractional coordinates, are Ho at (0.000, 0.000, 0.000), Ho at (0.000, 0.500, 0.121), Si at (0.000, 0.000, 0.221), Si at (0.000, 0.205, 0.500) and Tc at (0.000, 0.299, 0.326).

As for the uncorrected formation energy: -54 kJ/mol of atoms. The crystal system is orthorhombic. As for the raw total energy: -166.16 eV per cell.

=====

What are the N(E_F) values for these records? In order: 61.2; 14.8; 10.8; 14.5; 6.9; 2.0; 4.8; 0.0; 19.2; 10.8; 3.7; 4.9; 1.9; 17.7; 10.3; 8.7; 24.6; 2.2; 6.4; 5.1; 6.9; 10.4; 3.6; 13.9 states/eV per cell.
What are the density values for these records? In order: 7.2; 2.8; 8.7; 3.7; 2.8; 9.9; 5.6; 4.8; 9.6; 10.2; 14.1; 10.6; 3.4; 7.7; 10.1; 4.4; 7.6; 3.8; 3.7; 8.0; 5.5; 5.0; 9.6; 8.6 g cm⁻³.